<i>
The following is a PBE-GGA calculation of Ac3ZnPb2 after structural relaxation, from Alexandria.

a = 13.3676 Å, b = 4.8574 Å, c = 13.1511 Å
α = 90.00°, β = 90.00°, γ = 90.00°
With the nearest neighbours (Å) after each atom.
Atoms (fractional coordinates):
Ac1 0.0560 0.2500 0.1227  1 Zn 3.21, 4 Pb 3.44-3.56
Ac2 0.1243 0.7500 0.5599  5 Pb 3.49-3.53, 3 Zn 3.68-3.75
Ac3 0.2114 0.2500 0.7993  2 Zn 3.19, 1 Pb 3.44
Ac4 0.2886 0.7500 0.2993  2 Zn 3.19, 1 Pb 3.44
Ac5 0.3757 0.2500 0.0599  5 Pb 3.49-3.53, 3 Zn 3.68-3.75
Ac6 0.4440 0.7500 0.6227  1 Zn 3.21, 4 Pb 3.44-3.56
Ac7 0.5560 0.2500 0.3773  1 Zn 3.21, 4 Pb 3.44-3.56
Ac8 0.6243 0.7500 0.9401  5 Pb 3.49-3.53, 3 Zn 3.68-3.75
Ac9 0.7114 0.2500 0.7007  2 Zn 3.19, 1 Pb 3.44
Ac10 0.7886 0.7500 0.2007  2 Zn 3.19, 1 Pb 3.44
Ac11 0.8757 0.2500 0.4401  5 Pb 3.49-3.53, 3 Zn 3.68-3.75
Ac12 0.9440 0.7500 0.8773  1 Zn 3.21, 4 Pb 3.44-3.56
Zn1 0.1424 0.2500 0.3508  3 Pb 2.95-2.97, 3 Ac 3.19-3.21
Zn2 0.3576 0.7500 0.8508  3 Pb 2.95-2.97, 3 Ac 3.19-3.21
Zn3 0.6424 0.2500 0.1492  3 Pb 2.95-2.97, 3 Ac 3.19-3.21
Zn4 0.8576 0.7500 0.6492  3 Pb 2.95-2.97, 3 Ac 3.19-3.21
Pb1 0.0188 0.7500 0.3174  2 Zn 2.97
Pb2 0.1934 0.7500 0.0012  1 Zn 2.95
Pb3 0.3066 0.2500 0.5012  1 Zn 2.95
Pb4 0.4812 0.2500 0.8174  2 Zn 2.97
Pb5 0.5188 0.7500 0.1826  2 Zn 2.97
Pb6 0.6934 0.7500 0.4988  1 Zn 2.95
Pb7 0.8066 0.2500 0.9988  1 Zn 2.95
Pb8 0.9812 0.2500 0.6826  2 Zn 2.97

Density of states at the Fermi level: 0.78 states/eV per atom
Space-group type: Pnma

<ii>
The following is a PBE-GGA calculation of Ac3ZnPb2 after structural relaxation, from Alexandria.

a = 9.4574 Å, b = 9.4574 Å, c = 6.9712 Å
α = 102.39°, β = 102.39°, γ = 42.88°
With the nearest neighbours (Å) after each atom.
Atoms (fractional coordinates):
Ac1 0.1685 0.8315 0.7500  4 Zn 3.34-3.70, 4 Pb 3.46-3.53
Ac2 0.2225 0.4361 0.3859  1 Zn 3.37, 5 Pb 3.44-3.73
Ac3 0.4361 0.2225 0.8859  1 Zn 3.37, 5 Pb 3.44-3.73
Ac4 0.5639 0.7775 0.1141  1 Zn 3.37, 5 Pb 3.44-3.73
Ac5 0.7775 0.5639 0.6141  1 Zn 3.37, 5 Pb 3.44-3.73
Ac6 0.8315 0.1685 0.2500  4 Zn 3.34-3.70, 4 Pb 3.46-3.53
Zn1 0.3482 0.6518 0.2500  6 Ac 3.34-3.70, 2 Pb 3.45
Zn2 0.6518 0.3482 0.7500  6 Ac 3.34-3.70, 2 Pb 3.45
Pb1 0.0548 0.2575 0.0344  7 Ac 3.44-3.73, 1 Zn 3.45, 2 Pb 3.76
Pb2 0.2575 0.0548 0.5344  7 Ac 3.44-3.73, 1 Zn 3.45, 2 Pb 3.76
Pb3 0.7425 0.9452 0.4656  7 Ac 3.44-3.73, 1 Zn 3.45, 2 Pb 3.76
Pb4 0.9452 0.7425 0.9656  7 Ac 3.44-3.73, 1 Zn 3.45, 2 Pb 3.76

Density of states at the Fermi level: 0.72 states/eV per atom
Space-group type: C2/c

Ranked by calculated energy, most stable first: <i>, <ii>.

<i>
The following is a PBE-GGA calculation of Ac2Zn3Pb after structural relaxation, from Alexandria.

a = 9.4958 Å, b = 9.2600 Å, c = 6.3953 Å
α = 72.06°, β = 68.09°, γ = 39.85°
With the nearest neighbours (Å) after each atom.
Atoms (fractional coordinates):
Ac1 0.2439 0.7561 0.7561  10 Zn 3.35-3.55, 2 Pb 3.49
Ac2 0.2500 0.2500 0.2500  4 Pb 3.48, 8 Zn 3.53
Ac3 0.7500 0.7500 0.7500  4 Pb 3.48, 8 Zn 3.53
Ac4 0.7561 0.2439 0.2439  10 Zn 3.35-3.55, 2 Pb 3.49
Zn1 0.1593 0.1593 0.8407  2 Zn 2.64, 1 Pb 2.87
Zn2 0.1613 0.6805 0.3195  2 Zn 2.60-2.64, 1 Pb 2.85
Zn3 0.3195 0.8387 0.1613  2 Zn 2.60-2.64, 1 Pb 2.85
Zn4 0.6805 0.1613 0.8387  2 Zn 2.60-2.64, 1 Pb 2.85
Zn5 0.8387 0.3195 0.6805  2 Zn 2.60-2.64, 1 Pb 2.85
Zn6 0.8407 0.8407 0.1593  2 Zn 2.64, 1 Pb 2.87
Pb1 0.3342 0.3342 0.6658  3 Zn 2.85-2.87
Pb2 0.6658 0.6658 0.3342  3 Zn 2.85-2.87

Density of states at the Fermi level: 0.89 states/eV per atom
Space-group type: Fmmm

<ii>
The following is a PBE-GGA calculation of Ac2Zn3Pb after structural relaxation, from Alexandria.

a = 4.5099 Å, b = 4.6134 Å, c = 8.1278 Å
α = 90.00°, β = 90.00°, γ = 90.00°
With the nearest neighbours (Å) after each atom.
Atoms (fractional coordinates):
Ac1 0.0000 0.0000 0.0000  8 Zn 3.47-3.68, 4 Pb 3.50
Ac2 0.0000 0.5000 0.4940  10 Zn 3.38-3.51, 2 Pb 3.57
Zn1 0.5000 0.0000 0.3244  3 Zn 2.57-2.59
Zn2 0.5000 0.0000 0.6425  1 Zn 2.59, 2 Pb 2.78
Zn3 0.5000 0.5000 0.1839  2 Zn 2.57, 1 Pb 2.84
Pb1 0.5000 0.5000 0.8343  3 Zn 2.78-2.84

Density of states at the Fermi level: 1.00 states/eV per atom
Space-group type: Pmm2

Ranked by calculated energy, most stable first: <i>, <ii>.

<i>
The following is a PBE-GGA calculation of Ac3Zn2Pb4 after structural relaxation, from Alexandria.

a = 6.7183 Å, b = 6.7183 Å, c = 9.7763 Å
α = 107.36°, β = 107.36°, γ = 42.39°
With the nearest neighbours (Å) after each atom.
Atoms (fractional coordinates):
Ac1 0.0000 0.0000 0.0000  6 Pb 3.47-3.56
Ac2 0.3723 0.3723 0.3140  3 Zn 3.40-3.52, 7 Pb 3.54-3.73
Ac3 0.6277 0.6277 0.6860  3 Zn 3.40-3.52, 7 Pb 3.54-3.73
Zn1 0.3006 0.3006 0.6335  4 Pb 2.83-2.98
Zn2 0.6994 0.6994 0.3665  4 Pb 2.83-2.98
Pb1 0.0885 0.0885 0.3844  3 Zn 2.83-2.98
Pb2 0.2919 0.2919 0.9247  1 Zn 2.88, 2 Pb 3.19
Pb3 0.7081 0.7081 0.0753  1 Zn 2.88, 2 Pb 3.19
Pb4 0.9115 0.9115 0.6156  3 Zn 2.83-2.98

Density of states at the Fermi level: 0.46 states/eV per atom
Space-group type: C2/m

<ii>
The following is a PBE-GGA calculation of Ac3Zn2Pb4 after structural relaxation, from Alexandria.

a = 6.8335 Å, b = 6.8335 Å, c = 9.5607 Å
α = 101.16°, β = 101.16°, γ = 41.02°
With the nearest neighbours (Å) after each atom.
Atoms (fractional coordinates):
Ac1 0.0000 0.0000 0.0000  4 Zn 3.29
Ac2 0.3433 0.3433 0.3357  1 Zn 3.14, 5 Pb 3.45-3.50
Ac3 0.6567 0.6567 0.6643  1 Zn 3.14, 5 Pb 3.45-3.50
Zn1 0.4367 0.4367 0.7615  3 Pb 2.78-2.82
Zn2 0.5633 0.5633 0.2385  3 Pb 2.78-2.82
Pb1 0.0828 0.0828 0.3966  2 Zn 2.82
Pb2 0.2707 0.2707 0.9085  1 Zn 2.78, 2 Pb 3.07
Pb3 0.7293 0.7293 0.0915  1 Zn 2.78, 2 Pb 3.07
Pb4 0.9172 0.9172 0.6034  2 Zn 2.82

Density of states at the Fermi level: 0.50 states/eV per atom
Space-group type: C2/m

Ranked by calculated energy, most stable first: <ii>, <i>.